Density functional theory data (GGA-PBE) for crystalline Y2MgOs2 at its relaxed geometry.

It has space group P4/mmm (No. 123), with a = 4.932 Å, b = 4.932 Å, c = 5.310 Å, α = 90.00°, β = 90.00° and γ = 90.00°. Symmetry generates all atoms from Y at (0.000, 0.000, 0.000), Y at (0.000, 0.000, 0.500), Mg at (0.500, 0.500, 0.000) and Os at (0.000, 0.500, 0.500).

For the calculated density, the calculation gives 7.5 g/cm³. The calculation puts the energy relative to the elements at 1785.7 meV per atom.

Density functional theory data (GGA-PBE) for crystalline Li2GaCuC at its relaxed geometry.

It has space group P4/mmm (No. 123), with a = 5.104 Å, b = 5.104 Å, c = 3.487 Å, α = 90.00°, β = 90.00° and γ = 90.00°. Symmetry generates all atoms from Li at (0.000, 0.500, 0.000), Ga at (0.000, 0.000, 0.000), Cu at (0.500, 0.500, 0.500) and C at (0.000, 0.000, 0.500).

For the calculated density, the calculation gives 2.9 g/cm³. The calculation puts the energy relative to the elements at 858.5 meV per atom.

Density functional theory data (GGA-PBE) for crystalline Zr6CNO at its relaxed geometry.

It has space group P4_2nm (No. 102), with a = 5.462 Å, b = 5.462 Å, c = 10.024 Å, α = 90.00°, β = 90.00° and γ = 90.00°. Symmetry generates all atoms from Zr at (0.202, 0.202, 0.000), Zr at (0.205, 0.205, 0.330), Zr at (0.206, 0.206, 0.665), C at (0.000, 0.000, 0.832), N at (0.000, 0.000, 0.165) and O at (0.000, 0.000, 0.499).

For the calculated density, the calculation gives 6.5 g/cm³. The calculation puts the formation energy without anion corrections at -10.83 eV/f.u.

Density functional theory data (GGA-PBE) for crystalline KTlPb3 at its relaxed geometry.

It has space group Pm-3m (No. 221), with a = 6.021 Å, b = 6.021 Å, c = 6.021 Å, α = 90.00°, β = 90.00° and γ = 90.00°. Symmetry generates all atoms from K at (0.000, 0.000, 0.000), Tl at (0.500, 0.500, 0.500) and Pb at (0.000, 0.000, 0.500).

For the calculated density, the calculation gives 6.6 g/cm³. The calculation puts the energy relative to the lowest polymorph listed for this composition at 81.2 kJ per mole of atoms. The calculation puts the energy relative to the elements at 770.8 meV per atom.